Here is crystalline Zr12Be3Nb5 at its relaxed geometry from Alexandria. Energies are from PBE-GGA.

Cell and atoms, written as CIF:
```
data_Zr12Be3Nb5
_chemical_formula_sum 'Zr48 Be12 Nb20'
_cell_length_a 13.5868
_cell_length_b 13.5868
_cell_length_c 13.5868
_cell_angle_alpha 109.47
_cell_angle_beta 109.47
_cell_angle_gamma 109.47
_space_group_name_H-M_alt 'P 1'
_space_group_IT_number 1
_space_group_name_Hall 'P 1'
loop_
_atom_site_label
_atom_site_fract_x
_atom_site_fract_y
_atom_site_fract_z
_atom_site_occupancy
Zr1 0.0639 0.2290 0.1367 1
Zr2 0.0639 0.3349 0.9273 1
Zr3 0.0727 0.6367 0.4076 1
Zr4 0.0727 0.9361 0.6651 1
Zr5 0.0924 0.7290 0.6651 1
Zr6 0.0924 0.8633 0.4273 1
Zr7 0.1367 0.0639 0.2290 1
Zr8 0.1367 0.5727 0.9076 1
Zr9 0.1651 0.2290 0.5924 1
Zr10 0.1651 0.4361 0.5727 1
Zr11 0.2290 0.1367 0.0639 1
Zr12 0.2290 0.5924 0.1651 1
Zr13 0.2710 0.3349 0.9076 1
Zr14 0.2710 0.4361 0.3633 1
Zr15 0.3349 0.9076 0.2710 1
Zr16 0.3349 0.9273 0.0639 1
Zr17 0.3633 0.2710 0.4361 1
Zr18 0.3633 0.5924 0.9273 1
Zr19 0.4076 0.0727 0.6367 1
Zr20 0.4076 0.8349 0.7710 1
Zr21 0.4273 0.0924 0.8633 1
Zr22 0.4273 0.8349 0.5639 1
Zr23 0.4361 0.3633 0.2710 1
Zr24 0.4361 0.5727 0.1651 1
Zr25 0.5639 0.4273 0.8349 1
Zr26 0.5639 0.6367 0.7290 1
Zr27 0.5727 0.1651 0.4361 1
Zr28 0.5727 0.9076 0.1367 1
Zr29 0.5924 0.1651 0.2290 1
Zr30 0.5924 0.9273 0.3633 1
Zr31 0.6367 0.4076 0.0727 1
Zr32 0.6367 0.7290 0.5639 1
Zr33 0.6651 0.0727 0.9361 1
Zr34 0.6651 0.0924 0.7290 1
Zr35 0.7290 0.5639 0.6367 1
Zr36 0.7290 0.6651 0.0924 1
Zr37 0.7710 0.4076 0.8349 1
Zr38 0.7710 0.8633 0.9361 1
Zr39 0.8349 0.5639 0.4273 1
Zr40 0.8349 0.7710 0.4076 1
Zr41 0.8633 0.4273 0.0924 1
Zr42 0.8633 0.9361 0.7710 1
Zr43 0.9076 0.1367 0.5727 1
Zr44 0.9076 0.2710 0.3349 1
Zr45 0.9273 0.0639 0.3349 1
Zr46 0.9273 0.3633 0.5924 1
Zr47 0.9361 0.6651 0.0727 1
Zr48 0.9361 0.7710 0.8633 1
Be1 0.1250 0.2500 0.3750 1
Be2 0.1250 0.3750 0.7500 1
Be3 0.2500 0.3750 0.1250 1
Be4 0.2500 0.8750 0.6250 1
Be5 0.3750 0.1250 0.2500 1
Be6 0.3750 0.7500 0.1250 1
Be7 0.6250 0.2500 0.8750 1
Be8 0.6250 0.8750 0.7500 1
Be9 0.7500 0.1250 0.3750 1
Be10 0.7500 0.6250 0.8750 1
Be11 0.8750 0.6250 0.2500 1
Be12 0.8750 0.7500 0.6250 1
Nb1 0.0000 0.0000 0.0000 1
Nb2 0.0000 0.0000 0.5000 1
Nb3 0.0000 0.5000 0.0000 1
Nb4 0.0000 0.5000 0.5000 1
Nb5 0.1250 0.7500 0.8750 1
Nb6 0.1250 0.8750 0.2500 1
Nb7 0.2500 0.1250 0.8750 1
Nb8 0.2500 0.6250 0.3750 1
Nb9 0.3750 0.2500 0.6250 1
Nb10 0.3750 0.6250 0.7500 1
Nb11 0.5000 0.0000 0.0000 1
Nb12 0.5000 0.0000 0.5000 1
Nb13 0.5000 0.5000 0.0000 1
Nb14 0.5000 0.5000 0.5000 1
Nb15 0.6250 0.3750 0.2500 1
Nb16 0.6250 0.7500 0.3750 1
Nb17 0.7500 0.3750 0.6250 1
Nb18 0.7500 0.8750 0.1250 1
Nb19 0.8750 0.1250 0.7500 1
Nb20 0.8750 0.2500 0.1250 1
```

Computed properties:
Fermi-level density of states: 110.3 states/eV per cell
total magnetization: 3.3 μB per formula unit
ΔE_f: 1201.3 meV per atom
VASP energy: -7.00 eV/atom